## AcIn2Si2Au7 (GGA-PBE)

Data for a relaxed AcIn2Si2Au7 crystal.

a = 4.6742 Å, b = 4.6742 Å, c = 12.8043 Å
α = 90.28°, β = 90.28°, γ = 97.36°
Closest atoms and distances in Å follow each position.
Fractional coordinates of all 12 atoms:
Si1 0.3225 0.3225 0.2357  5 Au 2.42-2.60
Au1 0.3316 0.3316 0.4244  1 Si 2.42
Au2 0.5000 0.5000 0.0000  4 Au 2.92, 2 Ac 3.09, 2 Si 3.22
In1 0.1405 0.1405 0.6234  4 Au 2.82-3.08
Au3 0.1393 0.5408 0.8150  2 Si 2.42-2.60
Ac1 0.0000 0.0000 0.0000  6 Au 3.09-3.31
Si2 0.6775 0.6775 0.7643  5 Au 2.42-2.60
Au4 0.4592 0.8607 0.1850  2 Si 2.42-2.60
Au5 0.6684 0.6684 0.5756  1 Si 2.42
In2 0.8595 0.8595 0.3766  4 Au 2.82-3.08
Au6 0.8607 0.4592 0.1850  2 Si 2.42-2.60
Au7 0.5408 0.1393 0.8150  2 Si 2.42-2.60

As for the density of states at the Fermi level: 3.5 states/eV per cell. The calculation puts the formation energy (no corrections) at -246 meV per atom. Its uncorrected energy is -3.860 eV per atom. The space group is C2/m. As for the magnetic moment: 0.00 μB per cell.